# 1
Compound: LiTiN3
Source: Alexandria via LeMat-Bulk
Functional: PBE
Structure: relaxed

```
LiTiN3
1.0
3.922 0.000 0.000
0.000 3.922 0.000
0.000 0.000 3.922
Li Ti N
1 1 3
direct
0.000 0.000 0.000
0.500 0.500 0.500
0.000 0.500 0.500
0.500 0.000 0.500
0.500 0.500 0.000
```

Symmetry ... No. 221
ΔE_f (raw) ... 204 kJ/mol of formula units
DOS(E_F) ... 3.838 states/eV/cell



# 2
Compound: PaCo2Ge2Ir
Source: Alexandria via LeMat-Bulk
Functional: PBE
Structure: relaxed

```
PaCo2Ge2Ir
1.0
4.109 0.000 0.000
-2.055 3.559 0.000
0.000 0.000 6.327
Pa Co Ge Ir
1 2 2 1
direct
0.000 0.000 0.000
0.333 0.667 0.722
0.667 0.333 0.278
0.333 0.667 0.311
0.667 0.333 0.689
0.000 0.000 0.500
```

E_form ... -44.0 kJ/mol of atoms
Symmetry ... No. 164
DOS(E_F) ... 6.058 states/eV/cell



# 3
Compound: Nd2Zr
Source: Alexandria via LeMat-Bulk
Functional: PBE
Structure: relaxed

```
Nd2Zr
1.0
3.445 0.000 0.000
0.000 3.445 0.000
0.000 0.000 15.372
Nd Zr
4 2
direct
0.000 0.000 0.154
0.000 0.000 0.846
0.500 0.500 0.346
0.500 0.500 0.654
0.000 0.000 0.500
0.500 0.500 0.000
```

E_form ... 12.0 kJ/mol of atoms
Symmetry ... No. 139
DOS(E_F) ... 8.029 states/eV/cell



# 4
Compound: Hg2S2F
Source: Alexandria via LeMat-Bulk
Functional: PBE
Structure: relaxed

```
Hg2S2F
1.0
4.735 0.000 0.000
0.206 7.207 0.000
2.074 1.677 7.099
Hg S F
4 4 2
direct
0.062 0.246 0.340
0.400 0.278 0.737
0.600 0.722 0.263
0.938 0.754 0.660
0.085 0.858 0.311
0.205 0.455 0.016
0.795 0.545 0.984
0.915 0.142 0.689
0.466 0.642 0.610
0.534 0.358 0.390
```

Symmetry ... No. 2
ΔE_f (raw) ... -231 kJ/mol of formula units



# 5
Compound: Pm6NpS8
Source: Alexandria via LeMat-Bulk
Functional: PBE
Structure: relaxed

```
Pm6NpS8
1.0
0.000 5.688 5.688
5.688 0.000 5.688
5.688 5.688 0.000
Pm Np S
6 1 8
direct
0.000 0.000 0.500
0.000 0.500 0.000
0.000 0.500 0.500
0.500 0.000 0.000
0.500 0.000 0.500
0.500 0.500 0.000
0.000 0.000 0.000
0.246 0.246 0.754
0.246 0.754 0.246
0.246 0.754 0.754
0.250 0.250 0.250
0.750 0.750 0.750
0.754 0.246 0.246
0.754 0.246 0.754
0.754 0.754 0.246
```

Symmetry ... No. 225
ΔE_f (raw) ... -2813 kJ/mol of formula units
DOS(E_F) ... 15.113 states/eV/cell



# 6
Compound: NbBr
Source: Alexandria via LeMat-Bulk
Functional: PBE
Structure: relaxed

```
NbBr
1.0
5.937 0.000 0.000
0.000 5.937 0.000
0.000 0.000 5.937
Nb Br
4 4
direct
0.000 0.000 0.000
0.000 0.500 0.500
0.500 0.000 0.500
0.500 0.500 0.000
0.250 0.250 0.250
0.250 0.750 0.750
0.750 0.250 0.750
0.750 0.750 0.250
```

Symmetry ... No. 216
ΔE_f (raw) ... 182 kJ/mol of formula units
DOS(E_F) ... 8.906 states/eV/cell